No. 1
The following is a PBE-GGA calculation of a geometry-optimized TiZn3O3 structure, from the Alexandria database.

The structure belongs to space group Pm-3n (No. 223); the cell edges are 5.799, 5.799 and 5.799 Å and the angles 90.00°, 90.00° and 90.00°. The distinct sites, in fractional coordinates, are Ti at (0.000, 0.000, 0.000), Zn at (0.000, 0.250, 0.500) and O at (0.000, 0.500, 0.250).

Its energy relative to the elements, uncorrected is -0.59 eV per atom.



No. 2
The following is a PBE-GGA calculation of a geometry-optimized TiZn2O4 structure, from the Alexandria database.

The structure belongs to space group C2/m (No. 12); the cell edges are 10.981, 3.105 and 5.201 Å and the angles 90.00°, 108.51° and 90.00°. The distinct sites, in fractional coordinates, are Ti at (0.000, 0.000, 0.000), Zn at (0.164, 0.500, 0.601), O at (0.082, 0.500, 0.874) and O at (0.142, 0.000, 0.351).

As for the polymorph energy (0 for the lowest one): 48 meV per atom. Its energy relative to the elements, uncorrected is -2.05 eV per atom.



No. 3
The following is a PBE-GGA calculation of a geometry-optimized Ti4ZnO6 structure, from the Alexandria database.

The structure belongs to space group Cmcm (No. 63); the cell edges are 2.934, 9.939 and 15.112 Å and the angles 90.00°, 90.00° and 90.00°. The distinct sites, in fractional coordinates, are Ti at (0.000, 0.100, 0.130), Ti at (0.000, 0.353, 0.040), Zn at (0.000, 0.156, 0.750), O at (0.000, 0.000, 0.000), O at (0.000, 0.191, 0.250), O at (0.000, 0.265, 0.594) and O at (0.000, 0.458, 0.159).

Its energy relative to the elements, uncorrected is -2.38 eV per atom.



Question: Look up the energy relative to the elements, uncorrected of the third one.
Answer: -2.38 eV per atom



Question: Which of these has the lowest energy relative to the elements, uncorrected?
Answer: Ti4ZnO6



Question: energy relative to the elements, uncorrected of number 3 (Ti4ZnO6)?
Answer: -2.38 eV per atom